1.
! Na4AlZnAu2 | the Open Quantum Materials Database | GGA-PBE | relaxed; values from VASP
&SYSTEM
  ibrav = 0, nat = 8, ntyp = 4
/
ATOMIC_SPECIES
Na 22.99 Na.upf
Al 26.98 Al.upf
Zn 65.41 Zn.upf
Au 196.97 Au.upf
CELL_PARAMETERS angstrom
4.845 0.000 0.000
0.000 4.845 0.000
0.000 0.000 6.787
ATOMIC_POSITIONS angstrom
Na 0.000 0.000 0.000
Na 0.000 2.423 5.009
Na 2.423 0.000 1.777
Na 2.423 2.423 3.393
Al 2.423 2.423 0.000
Zn 0.000 0.000 3.393
Au 0.000 2.423 1.568
Au 2.423 0.000 5.218
! Symmetry ... P-4m2 (115)
! Energy ... -2.245 eV per atom

---

2.
! GePt15 | the Open Quantum Materials Database | GGA-PBE | relaxed; values from VASP
&SYSTEM
  ibrav = 0, nat = 32, ntyp = 2
/
ATOMIC_SPECIES
Ge 72.64 Ge.upf
Pt 195.08 Pt.upf
CELL_PARAMETERS angstrom
7.957 0.000 0.000
0.000 2.788 0.000
-0.047 0.000 36.344
ATOMIC_POSITIONS angstrom
Ge 0.982 0.697 10.454
Ge 6.929 2.091 25.890
Pt 0.869 0.697 27.011
Pt 0.912 0.697 29.990
Pt 0.943 0.697 32.821
Pt 0.983 0.697 7.796
Pt 1.002 0.697 2.078
Pt 0.993 0.697 4.913
Pt 0.961 0.697 35.623
Pt 2.879 2.091 9.337
Pt 2.931 2.091 6.371
Pt 2.970 2.091 3.530
Pt 2.943 2.091 28.660
Pt 2.951 2.091 25.983
Pt 2.947 2.091 31.377
Pt 2.992 2.091 0.691
Pt 2.950 2.091 34.191
Pt 4.960 0.697 2.153
Pt 4.918 0.697 35.652
Pt 4.963 0.697 4.967
Pt 4.959 0.697 10.361
Pt 4.968 0.697 7.684
Pt 4.941 0.697 32.814
Pt 4.980 0.697 29.973
Pt 5.032 0.697 27.007
Pt 6.950 2.091 0.721
Pt 6.918 2.091 31.431
Pt 6.909 2.091 34.266
Pt 6.928 2.091 28.548
Pt 6.967 2.091 3.522
Pt 6.998 2.091 6.354
Pt 7.041 2.091 9.333
! Symmetry ... P2_1/m (11)
! Size of the total moment ... 0.3 Bohr magnetons per cell
! Energy ... -5.920 eV per atom

---

3.
! Nb3HO8 | the Open Quantum Materials Database | GGA-PBE | relaxed; values from VASP
&SYSTEM
  ibrav = 0, nat = 12, ntyp = 3
/
ATOMIC_SPECIES
Nb 92.91 Nb.upf
H 1.01 H.upf
O 16.00 O.upf
CELL_PARAMETERS angstrom
3.852 0.000 0.000
-0.002 3.940 0.000
-1.819 -0.008 10.595
ATOMIC_POSITIONS angstrom
Nb 0.000 0.000 0.000
Nb -0.003 0.186 3.895
Nb 0.022 3.920 7.735
H 1.105 1.962 9.287
O 0.034 0.028 1.778
O 0.023 2.006 3.922
O -0.015 0.001 5.935
O 0.219 1.963 8.110
O 0.032 -0.006 10.114
O 1.940 3.912 3.730
O 2.002 -0.001 8.269
O 1.729 1.963 10.156
! Symmetry ... P1 (1)
! Size of the total moment ... 0.0 Bohr magnetons per cell
! Energy ... -8.405 eV per atom

---

4.
! HoAlSnTe3 | the Open Quantum Materials Database | GGA-PBE | relaxed; values from VASP
&SYSTEM
  ibrav = 0, nat = 12, ntyp = 4
/
ATOMIC_SPECIES
Ho 164.93 Ho.upf
Al 26.98 Al.upf
Sn 118.71 Sn.upf
Te 127.60 Te.upf
CELL_PARAMETERS angstrom
2.192 -7.310 0.000
2.192 7.310 0.000
0.000 0.000 11.048
ATOMIC_POSITIONS angstrom
Ho 0.000 0.000 0.000
Ho 0.000 0.000 5.524
Al 2.192 0.400 8.286
Al 2.192 -0.400 2.762
Sn 2.192 4.376 2.762
Sn 2.192 -4.376 8.286
Te 2.192 5.911 8.286
Te 2.192 2.119 6.084
Te 2.192 2.119 10.488
Te 2.192 -2.119 0.560
Te 2.192 -2.119 4.964
Te 2.192 -5.911 2.762
! Symmetry ... Cmcm (63)
! Size of the total moment ... 0.0 Bohr magnetons per cell
! Energy ... -4.150 eV per atom

---

5.
! NaMg2NiAs2 | the Open Quantum Materials Database | GGA-PBE | relaxed; values from VASP
&SYSTEM
  ibrav = 0, nat = 6, ntyp = 4
/
ATOMIC_SPECIES
Na 22.99 Na.upf
Mg 24.30 Mg.upf
Ni 58.69 Ni.upf
As 74.92 As.upf
CELL_PARAMETERS angstrom
4.153 0.000 0.000
0.000 4.153 0.000
0.000 0.000 6.755
ATOMIC_POSITIONS angstrom
Na 0.000 0.000 0.000
Mg 0.000 2.077 4.319
Mg 2.077 0.000 4.319
Ni 2.077 2.077 2.250
As 0.000 0.000 2.641
As 2.077 2.077 6.052
! Symmetry ... P4mm (99)
! Size of the total moment ... 0.7 Bohr magnetons per cell
! Energy ... -3.397 eV per atom

---

6.
! LiLuNiGe | the Open Quantum Materials Database | GGA-PBE | relaxed; values from VASP
&SYSTEM
  ibrav = 0, nat = 4, ntyp = 4
/
ATOMIC_SPECIES
Li 6.94 Li.upf
Lu 174.97 Lu.upf
Ni 58.69 Ni.upf
Ge 72.64 Ge.upf
CELL_PARAMETERS angstrom
0.000 3.114 3.114
3.114 0.000 3.114
3.114 3.114 0.000
ATOMIC_POSITIONS angstrom
Li 0.000 0.000 0.000
Lu 4.671 4.671 4.671
Ni 3.114 3.114 3.114
Ge 1.557 1.557 1.557
! Symmetry ... F-43m (216)
! Size of the total moment ... 0.0 Bohr magnetons per cell
! Energy ... -4.726 eV per atom

---

7.
! Co6SiGe2 | the Open Quantum Materials Database | GGA-PBE | relaxed; values from VASP
&SYSTEM
  ibrav = 0, nat = 9, ntyp = 3
/
ATOMIC_SPECIES
Co 58.93 Co.upf
Si 28.09 Si.upf
Ge 72.64 Ge.upf
CELL_PARAMETERS angstrom
6.628 0.000 0.000
-3.314 5.740 0.000
0.000 0.000 2.717
ATOMIC_POSITIONS angstrom
Co -0.939 1.627 0.000
Co -2.091 3.622 1.359
Co 1.879 0.000 0.000
Co 1.222 2.117 1.359
Co 4.183 0.000 1.359
Co 2.374 4.113 0.000
Si 0.000 0.000 1.359
Ge 0.000 3.826 0.000
Ge 3.314 1.913 0.000
! Symmetry ... P-62m (189)
! Size of the total moment ... 5.6 Bohr magnetons per cell
! Energy ... -6.552 eV per atom

---

8.
! ZrTlFeIr | the Open Quantum Materials Database | GGA-PBE | relaxed; values from VASP
&SYSTEM
  ibrav = 0, nat = 4, ntyp = 4
/
ATOMIC_SPECIES
Zr 91.22 Zr.upf
Tl 204.38 Tl.upf
Fe 55.84 Fe.upf
Ir 192.22 Ir.upf
CELL_PARAMETERS angstrom
0.000 3.305 3.305
3.305 0.000 3.305
3.305 3.305 0.000
ATOMIC_POSITIONS angstrom
Zr 0.000 0.000 0.000
Tl 1.653 1.653 1.653
Fe 3.305 3.305 3.305
Ir 4.958 4.958 4.958
! Symmetry ... F-43m (216)
! Size of the total moment ... 3.4 Bohr magnetons per cell
! Energy ... -6.879 eV per atom

---

9.
! SrLiGdS3 | the Open Quantum Materials Database | GGA-PBE | relaxed; values from VASP
&SYSTEM
  ibrav = 0, nat = 24, ntyp = 4
/
ATOMIC_SPECIES
Sr 87.62 Sr.upf
Li 6.94 Li.upf
Gd 157.25 Gd.upf
S 32.06 S.upf
CELL_PARAMETERS angstrom
13.298 0.000 0.000
0.000 4.016 0.000
0.000 0.000 10.486
ATOMIC_POSITIONS angstrom
Sr 3.022 1.004 0.295
Sr 3.628 3.012 5.538
Sr 9.671 1.004 4.948
Sr 10.277 3.012 10.191
Li 0.079 3.012 0.930
Li 6.570 1.004 6.173
Li 6.728 3.012 4.313
Li 13.219 1.004 9.556
Gd 0.214 1.004 3.478
Gd 6.435 3.012 8.721
Gd 6.864 1.004 1.765
Gd 13.084 3.012 7.008
S 1.262 3.012 9.338
S 1.438 1.004 5.952
S 1.853 3.012 2.553
S 4.796 1.004 7.796
S 5.211 3.012 0.709
S 5.387 1.004 4.095
S 7.911 3.012 6.391
S 8.087 1.004 9.777
S 8.502 3.012 2.690
S 11.445 1.004 7.933
S 11.860 3.012 4.534
S 12.036 1.004 1.148
! Symmetry ... Pnma (62)
! Size of the total moment ... 0.0 Bohr magnetons per cell
! Energy ... -5.339 eV per atom

---

10.
! PmErMgAl | the Open Quantum Materials Database | GGA-PBE | relaxed; values from VASP
&SYSTEM
  ibrav = 0, nat = 4, ntyp = 4
/
ATOMIC_SPECIES
Pm 145.00 Pm.upf
Er 167.26 Er.upf
Mg 24.30 Mg.upf
Al 26.98 Al.upf
CELL_PARAMETERS angstrom
0.000 3.706 3.706
3.706 0.000 3.706
3.706 3.706 0.000
ATOMIC_POSITIONS angstrom
Pm 0.000 0.000 0.000
Er 3.706 3.706 3.706
Mg 1.853 1.853 1.853
Al 5.558 5.558 5.558
! Symmetry ... F-43m (216)
! Size of the total moment ... 0.0 Bohr magnetons per cell
! Energy ... -3.914 eV per atom

---

11.
! BaNiW | the Open Quantum Materials Database | GGA-PBE | relaxed; values from VASP
&SYSTEM
  ibrav = 0, nat = 3, ntyp = 3
/
ATOMIC_SPECIES
Ba 137.33 Ba.upf
Ni 58.69 Ni.upf
W 183.84 W.upf
CELL_PARAMETERS angstrom
0.000 3.376 3.376
3.376 0.000 3.376
3.376 3.376 0.000
ATOMIC_POSITIONS angstrom
Ba 0.000 0.000 0.000
Ni 1.688 1.688 1.688
W 3.376 3.376 3.376
! Symmetry ... F-43m (216)
! Size of the total moment ... 3.6 Bohr magnetons per cell
! Energy ... -5.234 eV per atom

---

12.
! BaAg2Sb4 | the Open Quantum Materials Database | GGA-PBE | relaxed; values from VASP
&SYSTEM
  ibrav = 0, nat = 14, ntyp = 3
/
ATOMIC_SPECIES
Ba 137.33 Ba.upf
Ag 107.87 Ag.upf
Sb 121.76 Sb.upf
CELL_PARAMETERS angstrom
0.000 4.805 12.095
3.716 0.000 12.095
3.716 4.805 0.000
ATOMIC_POSITIONS angstrom
Ba 0.929 1.201 3.024
Ba 6.503 8.408 21.166
Ag 2.787 3.604 0.834
Ag 4.645 6.006 6.881
Ag 2.787 3.604 17.308
Ag 4.645 6.006 23.356
Sb 3.368 2.272 7.450
Sb 2.206 2.272 10.693
Sb 5.226 4.674 16.740
Sb 4.064 4.674 13.497
Sb 3.368 4.935 10.693
Sb 2.206 4.935 7.450
Sb 5.226 7.338 13.497
Sb 4.064 7.338 16.740
! Symmetry ... Fddd (70)
! Energy ... -3.626 eV per atom

---

13.
! AlAgPt2 | the Open Quantum Materials Database | GGA-PBE | relaxed; values from VASP
&SYSTEM
  ibrav = 0, nat = 4, ntyp = 3
/
ATOMIC_SPECIES
Al 26.98 Al.upf
Ag 107.87 Ag.upf
Pt 195.08 Pt.upf
CELL_PARAMETERS angstrom
0.000 3.166 3.166
3.166 0.000 3.166
3.166 3.166 0.000
ATOMIC_POSITIONS angstrom
Al 0.000 0.000 0.000
Ag 1.583 1.583 1.583
Pt 3.166 3.166 3.166
Pt 4.749 4.749 4.749
! Symmetry ... F-43m (216)
! Size of the total moment ... 0.0 Bohr magnetons per cell
! Energy ... -5.004 eV per atom

---

14.
! Pr2Ni12P7 | the Open Quantum Materials Database | GGA-PBE | relaxed; values from VASP
&SYSTEM
  ibrav = 0, nat = 21, ntyp = 3
/
ATOMIC_SPECIES
Pr 140.91 Pr.upf
Ni 58.69 Ni.upf
P 30.97 P.upf
CELL_PARAMETERS angstrom
9.102 0.000 0.000
-4.551 7.883 0.000
0.000 0.000 3.752
ATOMIC_POSITIONS angstrom
Pr 0.000 0.000 0.000
Pr 0.000 5.255 1.876
Ni -3.046 5.989 1.876
Ni -0.894 3.097 0.000
Ni 0.887 2.250 1.876
Ni -1.422 7.109 0.000
Ni 2.638 1.651 0.000
Ni 4.447 0.972 1.876
Ni 3.169 3.546 1.876
Ni 2.316 5.560 0.000
Ni 2.159 7.526 1.876
Ni 6.353 1.459 0.000
Ni 4.662 4.773 0.000
Ni 6.037 3.365 1.876
P -2.239 4.962 0.000
P 2.274 0.290 1.876
P 1.373 3.463 0.000
P 0.866 7.341 0.000
P 4.551 2.628 0.000
P 3.665 5.768 1.876
P 7.714 1.825 1.876
! Symmetry ... P-6 (174)
! Size of the total moment ... 0.0 Bohr magnetons per cell
! Energy ... -6.179 eV per atom

---

15.
! ScFe2Pb | the Open Quantum Materials Database | GGA-PBE | relaxed; values from VASP
&SYSTEM
  ibrav = 0, nat = 4, ntyp = 3
/
ATOMIC_SPECIES
Sc 44.96 Sc.upf
Fe 55.84 Fe.upf
Pb 207.20 Pb.upf
CELL_PARAMETERS angstrom
0.000 3.243 3.243
3.243 0.000 3.243
3.243 3.243 0.000
ATOMIC_POSITIONS angstrom
Sc 0.000 0.000 0.000
Fe 3.243 3.243 3.243
Fe 4.864 4.864 4.864
Pb 1.621 1.621 1.621
! Symmetry ... F-43m (216)
! Size of the total moment ... 4.9 Bohr magnetons per cell
! Energy ... -6.499 eV per atom

---

16.
! ZnB4Ir | the Open Quantum Materials Database | GGA-PBE | relaxed; values from VASP
&SYSTEM
  ibrav = 0, nat = 6, ntyp = 3
/
ATOMIC_SPECIES
Zn 65.41 Zn.upf
B 10.81 B.upf
Ir 192.22 Ir.upf
CELL_PARAMETERS angstrom
3.038 0.000 0.000
-1.519 2.631 0.000
0.000 0.000 6.933
ATOMIC_POSITIONS angstrom
Zn 0.000 0.000 0.000
B 0.000 1.754 1.775
B 0.000 1.754 5.158
B 1.519 0.877 1.775
B 1.519 0.877 5.158
Ir 0.000 0.000 3.466
! Symmetry ... P6/mmm (191)
! Size of the total moment ... 0.0 Bohr magnetons per cell
! Energy ... -5.744 eV per atom

---

17.
! Hf2Fe3Bi2 | the Open Quantum Materials Database | GGA-PBE | relaxed; values from VASP
&SYSTEM
  ibrav = 0, nat = 7, ntyp = 3
/
ATOMIC_SPECIES
Hf 178.49 Hf.upf
Fe 55.84 Fe.upf
Bi 208.98 Bi.upf
CELL_PARAMETERS angstrom
2.213 1.277 7.171
-2.213 1.277 7.171
0.000 -2.555 7.171
ATOMIC_POSITIONS angstrom
Hf 0.000 0.000 0.000
Hf 0.000 0.000 10.644
Fe 0.000 0.000 2.706
Fe 0.000 0.000 13.322
Fe 0.000 0.000 18.795
Bi 0.000 0.000 5.429
Bi 0.000 0.000 16.018
! Symmetry ... R3m (160)
! Size of the total moment ... 0.0 Bohr magnetons per cell
! Energy ... -7.567 eV per atom

---

18.
! Pr2DyIn3AgPt2 | the Open Quantum Materials Database | GGA-PBE | relaxed; values from VASP
&SYSTEM
  ibrav = 0, nat = 9, ntyp = 5
/
ATOMIC_SPECIES
Pr 140.91 Pr.upf
Dy 162.50 Dy.upf
In 114.82 In.upf
Ag 107.87 Ag.upf
Pt 195.08 Pt.upf
CELL_PARAMETERS angstrom
3.961 0.000 0.000
0.000 6.802 3.948
0.000 -6.802 3.948
ATOMIC_POSITIONS angstrom
Pr 0.000 -3.997 3.948
Pr 0.000 3.997 3.948
Dy 0.000 0.000 4.903
In 1.980 -1.766 2.685
In 1.980 1.766 2.685
In 1.980 0.000 7.444
Ag 0.000 0.000 1.660
Pt 1.980 -2.198 5.563
Pt 1.980 2.198 5.563
! Symmetry ... Amm2 (38)
! Size of the total moment ... 0.0 Bohr magnetons per cell
! Energy ... -4.937 eV per atom

---

19.
! Cd2AgO4 | the Open Quantum Materials Database | GGA-PBE | relaxed; values from VASP
&SYSTEM
  ibrav = 0, nat = 14, ntyp = 3
/
ATOMIC_SPECIES
Cd 112.41 Cd.upf
Ag 107.87 Ag.upf
O 16.00 O.upf
CELL_PARAMETERS angstrom
0.000 4.626 4.626
4.626 0.000 4.626
4.626 4.626 0.000
ATOMIC_POSITIONS angstrom
Cd 0.000 0.000 0.000
Cd 2.313 2.313 0.000
Cd 2.313 0.000 2.313
Cd 0.000 2.313 2.313
Ag 3.470 3.470 3.470
Ag 5.783 5.783 5.783
O 6.996 4.569 4.569
O 2.256 2.256 2.256
O 4.683 4.683 2.256
O 4.683 2.256 4.683
O 4.569 6.996 4.569
O 4.569 4.569 6.996
O 6.996 6.996 6.996
O 2.256 4.683 4.683
! Symmetry ... Fd-3m (227)
! Energy ... -3.804 eV per atom

---

20.
! TmMg2 | the Open Quantum Materials Database | GGA-PBE | relaxed; values from VASP
&SYSTEM
  ibrav = 0, nat = 12, ntyp = 2
/
ATOMIC_SPECIES
Tm 168.93 Tm.upf
Mg 24.30 Mg.upf
CELL_PARAMETERS angstrom
5.319 0.000 0.000
0.000 10.336 0.000
0.000 0.000 5.611
ATOMIC_POSITIONS angstrom
Tm 1.330 0.895 0.506
Tm 1.330 4.273 0.506
Tm 3.989 6.063 5.105
Tm 3.989 9.441 5.105
Mg 1.330 2.584 3.364
Mg 1.330 6.116 3.203
Mg 1.330 7.752 0.387
Mg 1.330 9.388 3.203
Mg 3.989 0.948 2.408
Mg 3.989 2.584 5.223
Mg 3.989 4.220 2.408
Mg 3.989 7.752 2.247
! Symmetry ... Pmmn (59)
! Size of the total moment ... 0.2 Bohr magnetons per cell
! Energy ... -2.497 eV per atom